(1)
Density functional theory data (PBE-GGA) for an optimized crystal structure of Mg2Ge3Pd4.

a b c (Å): 8.2468 8.2468 7.0667
angles (deg): 90.00 90.00 140.13
Closest atoms and distances in Å follow each position.
Sites, in units of the cell vectors:
Mg (0.0909, 0.9091, 0.8996)  7 Pd 2.81-3.08
Mg (0.4091, 0.5909, 0.3996)  7 Pd 2.81-3.08
Mg (0.5909, 0.4091, 0.6004)  7 Pd 2.81-3.08
Mg (0.9091, 0.0909, 0.1004)  7 Pd 2.81-3.08
Ge (0.0000, 0.0000, 0.5000)  6 Pd 2.50-2.60
Ge (0.0148, 0.4852, 0.7500)  5 Pd 2.55-2.70, 2 Ge 2.81
Ge (0.4852, 0.0148, 0.2500)  5 Pd 2.55-2.70, 2 Ge 2.81
Ge (0.5000, 0.5000, 0.0000)  6 Pd 2.50-2.60
Ge (0.5148, 0.9852, 0.7500)  5 Pd 2.55-2.70, 2 Ge 2.81
Ge (0.9852, 0.5148, 0.2500)  5 Pd 2.55-2.70, 2 Ge 2.81
Pd (0.1669, 0.8331, 0.5392)  5 Ge 2.55-2.70, 1 Mg 2.81
Pd (0.1814, 0.3186, 0.7500)  3 Ge 2.50-2.58
Pd (0.3186, 0.1814, 0.2500)  3 Ge 2.50-2.58
Pd (0.3331, 0.6669, 0.0392)  5 Ge 2.55-2.70, 1 Mg 2.81
Pd (0.6669, 0.3331, 0.9608)  5 Ge 2.55-2.70, 1 Mg 2.81
Pd (0.6814, 0.8186, 0.7500)  3 Ge 2.50-2.58
Pd (0.8186, 0.6814, 0.2500)  3 Ge 2.50-2.58
Pd (0.8331, 0.1669, 0.4608)  5 Ge 2.55-2.70, 1 Mg 2.81

Results
Its symmetry is Cmce (64). For the density of states at the Fermi level, the calculation gives 3.56 states/eV/f.u. The calculation puts the energy of formation at -0.505 eV/atom. Its mass density is 7.46 g/cm³.

(2)
Density functional theory data (PBE-GGA) for an optimized crystal structure of Mg3Ge2Pd4.

a b c (Å): 4.4903 4.4903 8.5344
angles (deg): 99.18 99.18 62.31
Closest atoms and distances in Å follow each position.
Sites, in units of the cell vectors:
Mg (0.0000, 0.0000, 0.0000)  8 Pd 2.75-2.82, 2 Mg 3.08
Mg (0.3646, 0.3646, 0.2220)  7 Pd 2.76-2.83, 1 Ge 2.92, 1 Mg 3.08
Mg (0.6354, 0.6354, 0.7780)  7 Pd 2.76-2.83, 1 Ge 2.92, 1 Mg 3.08
Ge (0.2760, 0.2760, 0.5929)  5 Pd 2.52-2.73, 2 Ge 2.80
Ge (0.7240, 0.7240, 0.4071)  5 Pd 2.52-2.73, 2 Ge 2.80
Pd (0.0410, 0.0410, 0.3350)  4 Ge 2.57-2.73, 4 Mg 2.77-2.83
Pd (0.3164, 0.3164, 0.8929)  1 Ge 2.52, 7 Mg 2.75-2.81
Pd (0.6836, 0.6836, 0.1071)  1 Ge 2.52, 7 Mg 2.75-2.81
Pd (0.9590, 0.9590, 0.6650)  4 Ge 2.57-2.73, 4 Mg 2.77-2.83

Results
Its symmetry is C2/m (12). For the density of states at the Fermi level, the calculation gives 3.75 states/eV/f.u. Its energy above the most stable polymorph in this dataset is 0 meV per atom. The calculation puts the energy of formation at -0.580 eV/atom. Its mass density is 7.14 g/cm³.

(3)
Density functional theory data (PBE-GGA) for an optimized crystal structure of Mg5Ge2Pd12.

a b c (Å): 7.5176 7.5176 5.8721
angles (deg): 92.29 92.29 67.56
Closest atoms and distances in Å follow each position.
Sites, in units of the cell vectors:
Mg (0.0000, 0.0000, 0.0000)  6 Pd 2.68-2.69
Mg (0.2452, 0.2452, 0.0472)  10 Pd 2.76-2.94, 2 Mg 2.99-3.06
Mg (0.3209, 0.3209, 0.5714)  9 Pd 2.65-2.94
Mg (0.6791, 0.6791, 0.4286)  9 Pd 2.65-2.94
Mg (0.7548, 0.7548, 0.9528)  10 Pd 2.76-2.94, 2 Mg 2.99-3.06
Ge (0.2492, 0.7508, 0.5000)  8 Pd 2.56-2.64
Ge (0.7508, 0.2492, 0.5000)  8 Pd 2.56-2.64
Pd (0.0500, 0.5770, 0.2989)  1 Ge 2.56, 3 Mg 2.72-2.76, 3 Pd 2.74-2.80
Pd (0.1078, 0.1078, 0.4048)  2 Ge 2.56, 3 Mg 2.68-2.79, 4 Pd 2.78-2.83
Pd (0.1711, 0.6244, 0.8808)  1 Ge 2.64, 4 Mg 2.69-2.94, 6 Pd 2.74-2.90
Pd (0.3756, 0.8289, 0.1192)  1 Ge 2.64, 4 Mg 2.69-2.94, 6 Pd 2.74-2.90
Pd (0.4230, 0.9500, 0.7011)  1 Ge 2.56, 3 Mg 2.72-2.76, 3 Pd 2.74-2.80
Pd (0.4569, 0.4569, 0.2383)  2 Ge 2.64, 3 Mg 2.65-2.94, 6 Pd 2.74-2.90
Pd (0.5431, 0.5431, 0.7617)  2 Ge 2.64, 3 Mg 2.65-2.94, 6 Pd 2.74-2.90
Pd (0.5770, 0.0500, 0.2989)  1 Ge 2.56, 3 Mg 2.72-2.76, 3 Pd 2.74-2.80
Pd (0.6244, 0.1711, 0.8808)  1 Ge 2.64, 4 Mg 2.69-2.94, 6 Pd 2.74-2.90
Pd (0.8289, 0.3756, 0.1192)  1 Ge 2.64, 4 Mg 2.69-2.94, 6 Pd 2.74-2.90
Pd (0.8922, 0.8922, 0.5952)  2 Ge 2.56, 3 Mg 2.68-2.79, 4 Pd 2.78-2.83
Pd (0.9500, 0.4230, 0.7011)  1 Ge 2.56, 3 Mg 2.72-2.76, 3 Pd 2.74-2.80

Results
Its symmetry is C2/m (12). For the density of states at the Fermi level, the calculation gives 5.54 states/eV/f.u. The calculation puts the energy of formation at -0.548 eV/atom. Its mass density is 8.37 g/cm³.

(4)
Density functional theory data (PBE-GGA) for an optimized crystal structure of Mg2GePd3.

a b c (Å): 4.4655 6.2885 7.0526
angles (deg): 90.00 105.79 90.00
Closest atoms and distances in Å follow each position.
Sites, in units of the cell vectors:
Mg (0.0000, 0.0000, 0.0000)  8 Pd 2.74-2.92
Mg (0.0000, 0.5000, 0.0000)  8 Pd 2.72-2.79, 2 Ge 2.97
Mg (0.3277, 0.0000, 0.6687)  8 Pd 2.74-2.82
Mg (0.6723, 0.0000, 0.3313)  8 Pd 2.74-2.82
Ge (0.3353, 0.5000, 0.6893)  8 Pd 2.63-2.72
Ge (0.6647, 0.5000, 0.3107)  8 Pd 2.63-2.72
Pd (0.1854, 0.2688, 0.3503)  3 Ge 2.66-2.72, 5 Mg 2.74-2.92, 1 Pd 2.91
Pd (0.1854, 0.7312, 0.3503)  3 Ge 2.66-2.72, 5 Mg 2.74-2.92, 1 Pd 2.91
Pd (0.5000, 0.2520, 0.0000)  2 Ge 2.63, 6 Mg 2.72-2.75
Pd (0.5000, 0.7480, 0.0000)  2 Ge 2.63, 6 Mg 2.72-2.75
Pd (0.8146, 0.2688, 0.6497)  3 Ge 2.66-2.72, 5 Mg 2.74-2.92, 1 Pd 2.91
Pd (0.8146, 0.7312, 0.6497)  3 Ge 2.66-2.72, 5 Mg 2.74-2.92, 1 Pd 2.91

Results
Its symmetry is P2/m (10). For the density of states at the Fermi level, the calculation gives 2.11 states/eV/f.u. The calculation puts the energy of formation at -0.627 eV/atom. Its mass density is 7.68 g/cm³.

(5)
Density functional theory data (PBE-GGA) for an optimized crystal structure of Mg4GePd3.

a b c (Å): 3.2612 3.2612 12.6348
angles (deg): 90.00 90.00 90.00
Closest atoms and distances in Å follow each position.
Sites, in units of the cell vectors:
Mg (0.0000, 0.0000, 0.1204)  8 Pd 2.76-2.79, 2 Mg 3.04
Mg (0.0000, 0.0000, 0.3612)  4 Pd 2.74, 4 Ge 2.90, 1 Mg 3.04
Mg (0.0000, 0.0000, 0.6388)  4 Pd 2.74, 4 Ge 2.90, 1 Mg 3.04
Mg (0.0000, 0.0000, 0.8796)  8 Pd 2.76-2.79, 2 Mg 3.04
Ge (0.5000, 0.5000, 0.5000)  8 Mg 2.90, 2 Pd 3.23
Pd (0.5000, 0.5000, 0.0000)  8 Mg 2.76, 2 Pd 3.09
Pd (0.5000, 0.5000, 0.2445)  8 Mg 2.74-2.79
Pd (0.5000, 0.5000, 0.7555)  8 Mg 2.74-2.79

Results
Its symmetry is P4/mmm (123). For the density of states at the Fermi level, the calculation gives 1.49 states/eV/f.u. The calculation puts the energy of formation at -0.585 eV/atom. Its mass density is 6.04 g/cm³.

(6)
Density functional theory data (PBE-GGA) for an optimized crystal structure of MgGePd4.

a b c (Å): 7.2361 2.9629 17.3738
angles (deg): 90.00 90.00 90.00
Closest atoms and distances in Å follow each position.
Sites, in units of the cell vectors:
Mg (0.2069, 0.2500, 0.1877)  9 Pd 2.69-2.80, 2 Mg 2.96
Mg (0.2931, 0.7500, 0.6877)  9 Pd 2.69-2.80, 2 Mg 2.96
Mg (0.7069, 0.2500, 0.3123)  9 Pd 2.69-2.80, 2 Mg 2.96
Mg (0.7931, 0.7500, 0.8123)  9 Pd 2.69-2.80, 2 Mg 2.96
Ge (0.2474, 0.7500, 0.4514)  8 Pd 2.54-2.62
Ge (0.2526, 0.2500, 0.9514)  8 Pd 2.54-2.62
Ge (0.7474, 0.7500, 0.0486)  8 Pd 2.54-2.62
Ge (0.7526, 0.2500, 0.5486)  8 Pd 2.54-2.62
Pd (0.0133, 0.7500, 0.2887)  4 Mg 2.69-2.70, 8 Pd 2.88-2.96
Pd (0.0394, 0.7500, 0.5711)  3 Ge 2.57-2.58, 1 Mg 2.73
Pd (0.1050, 0.7500, 0.0593)  3 Ge 2.59-2.62, 2 Mg 2.78
Pd (0.1623, 0.7500, 0.8391)  2 Ge 2.54, 2 Mg 2.71-2.80
Pd (0.3377, 0.2500, 0.3391)  2 Ge 2.54, 2 Mg 2.71-2.80
Pd (0.3950, 0.2500, 0.5593)  3 Ge 2.59-2.62, 2 Mg 2.78
Pd (0.4606, 0.2500, 0.0711)  3 Ge 2.57-2.58, 1 Mg 2.73
Pd (0.4867, 0.2500, 0.7887)  4 Mg 2.69-2.70, 8 Pd 2.88-2.96
Pd (0.5133, 0.7500, 0.2113)  4 Mg 2.69-2.70, 8 Pd 2.88-2.96
Pd (0.5394, 0.7500, 0.9289)  3 Ge 2.57-2.58, 1 Mg 2.73
Pd (0.6050, 0.7500, 0.4407)  3 Ge 2.59-2.62, 2 Mg 2.78
Pd (0.6623, 0.7500, 0.6609)  2 Ge 2.54, 2 Mg 2.71-2.80
Pd (0.8377, 0.2500, 0.1609)  2 Ge 2.54, 2 Mg 2.71-2.80
Pd (0.8950, 0.2500, 0.9407)  3 Ge 2.59-2.62, 2 Mg 2.78
Pd (0.9606, 0.2500, 0.4289)  3 Ge 2.57-2.58, 1 Mg 2.73
Pd (0.9867, 0.2500, 0.7113)  4 Mg 2.69-2.70, 8 Pd 2.88-2.96

Results
Its symmetry is Pnma (62). For the density of states at the Fermi level, the calculation gives 1.24 states/eV/f.u. Its energy above the most stable polymorph in this dataset is 0 meV per atom. The calculation puts the energy of formation at -0.529 eV/atom. Its mass density is 9.32 g/cm³.

(7)
Density functional theory data (PBE-GGA) for an optimized crystal structure of Mg2GePd5.

a b c (Å): 5.5248 10.7439 4.1438
angles (deg): 90.00 90.00 90.00
Closest atoms and distances in Å follow each position.
Sites, in units of the cell vectors:
Mg (0.1685, 0.1425, 0.0000)  10 Pd 2.71-2.88
Mg (0.3315, 0.6425, 0.0000)  10 Pd 2.71-2.88
Mg (0.6685, 0.3575, 0.0000)  10 Pd 2.71-2.88
Mg (0.8315, 0.8575, 0.0000)  10 Pd 2.71-2.88
Ge (0.0000, 0.5000, 0.5000)  8 Pd 2.57-2.76
Ge (0.5000, 0.0000, 0.5000)  8 Pd 2.57-2.76
Pd (0.0000, 0.0000, 0.5000)  4 Mg 2.74, 2 Ge 2.76, 6 Pd 2.85-2.93
Pd (0.0751, 0.7378, 0.5000)  1 Ge 2.59, 4 Mg 2.71-2.79, 5 Pd 2.77-2.90
Pd (0.1842, 0.3952, 0.0000)  2 Ge 2.57, 3 Mg 2.71-2.78
Pd (0.3158, 0.8952, 0.0000)  2 Ge 2.57, 3 Mg 2.71-2.78
Pd (0.4249, 0.2378, 0.5000)  1 Ge 2.59, 4 Mg 2.71-2.79, 5 Pd 2.77-2.90
Pd (0.5000, 0.5000, 0.5000)  4 Mg 2.74, 2 Ge 2.76, 6 Pd 2.85-2.93
Pd (0.5751, 0.7622, 0.5000)  1 Ge 2.59, 4 Mg 2.71-2.79, 5 Pd 2.77-2.90
Pd (0.6842, 0.1048, 0.0000)  2 Ge 2.57, 3 Mg 2.71-2.78
Pd (0.8158, 0.6048, 0.0000)  2 Ge 2.57, 3 Mg 2.71-2.78
Pd (0.9249, 0.2622, 0.5000)  1 Ge 2.59, 4 Mg 2.71-2.79, 5 Pd 2.77-2.90

Results
Its symmetry is Pbam (55). For the density of states at the Fermi level, the calculation gives 1.61 states/eV/f.u. The calculation puts the energy of formation at -0.675 eV/atom. Its mass density is 8.82 g/cm³.

(8)
Density functional theory data (PBE-GGA) for an optimized crystal structure of MgGePd4.

a b c (Å): 5.0583 7.9471 4.9562
angles (deg): 90.00 109.17 90.00
Closest atoms and distances in Å follow each position.
Sites, in units of the cell vectors:
Mg (0.0000, 0.0000, 0.0000)  8 Pd 2.67-2.97, 2 Ge 2.90
Mg (0.0000, 0.5000, 0.5000)  8 Pd 2.67-2.97, 2 Ge 2.90
Ge (0.5000, 0.0000, 0.5000)  6 Pd 2.52-2.71
Ge (0.5000, 0.5000, 0.0000)  6 Pd 2.52-2.71
Pd (0.0955, 0.1593, 0.5657)  1 Ge 2.52, 2 Mg 2.67-2.75, 2 Pd 2.71-2.78
Pd (0.0955, 0.3407, 0.0657)  1 Ge 2.52, 2 Mg 2.67-2.75, 2 Pd 2.71-2.78
Pd (0.4175, 0.6656, 0.3983)  2 Ge 2.52-2.71, 1 Mg 2.67, 3 Pd 2.78-2.82
Pd (0.4175, 0.8344, 0.8983)  2 Ge 2.52-2.71, 1 Mg 2.67, 3 Pd 2.78-2.82
Pd (0.5825, 0.1656, 0.1017)  2 Ge 2.52-2.71, 1 Mg 2.67, 3 Pd 2.78-2.82
Pd (0.5825, 0.3344, 0.6017)  2 Ge 2.52-2.71, 1 Mg 2.67, 3 Pd 2.78-2.82
Pd (0.9045, 0.6593, 0.9343)  1 Ge 2.52, 2 Mg 2.67-2.75, 2 Pd 2.71-2.78
Pd (0.9045, 0.8407, 0.4343)  1 Ge 2.52, 2 Mg 2.67-2.75, 2 Pd 2.71-2.78

Results
Its symmetry is P2_1/c (14). For the density of states at the Fermi level, the calculation gives 2.58 states/eV/f.u. Its energy above the most stable polymorph in this dataset is 58 meV per atom. The calculation puts the energy of formation at -0.471 eV/atom. Its mass density is 9.22 g/cm³.

(9)
Density functional theory data (PBE-GGA) for an optimized crystal structure of MgGe2Pd2.

a b c (Å): 7.4127 7.4127 3.1100
angles (deg): 90.00 90.00 90.00
Closest atoms and distances in Å follow each position.
Sites, in units of the cell vectors:
Mg (0.0000, 0.0000, 0.0000)  4 Ge 2.92, 2 Mg 3.11, 8 Pd 3.15
Mg (0.5000, 0.5000, 0.0000)  4 Ge 2.92, 2 Mg 3.11, 8 Pd 3.15
Ge (0.1271, 0.3729, 0.0000)  6 Pd 2.59-2.75, 1 Ge 2.66
Ge (0.3729, 0.8729, 0.0000)  6 Pd 2.59-2.75, 1 Ge 2.66
Ge (0.6271, 0.1271, 0.0000)  6 Pd 2.59-2.75, 1 Ge 2.66
Ge (0.8729, 0.6271, 0.0000)  6 Pd 2.59-2.75, 1 Ge 2.66
Pd (0.1749, 0.6749, 0.5000)  6 Ge 2.59-2.75
Pd (0.3251, 0.1749, 0.5000)  6 Ge 2.59-2.75
Pd (0.6749, 0.8251, 0.5000)  6 Ge 2.59-2.75
Pd (0.8251, 0.3251, 0.5000)  6 Ge 2.59-2.75

Results
Its symmetry is P4/mbm (127). For the density of states at the Fermi level, the calculation gives 0.92 states/eV/f.u. The calculation puts the energy of formation at -0.315 eV/atom. Its mass density is 7.43 g/cm³.

(10)
Density functional theory data (PBE-GGA) for an optimized crystal structure of MgGe2Pd.

a b c (Å): 9.4164 9.4164 9.4164
angles (deg): 19.09 19.09 19.09
Closest atoms and distances in Å follow each position.
Sites, in units of the cell vectors:
Mg (0.0000, 0.0000, 0.0000)  2 Ge 2.70
Ge (0.0975, 0.0975, 0.0975)  3 Pd 2.63, 1 Mg 2.70
Ge (0.9025, 0.9025, 0.9025)  3 Pd 2.63, 1 Mg 2.70
Pd (0.5000, 0.5000, 0.5000)  6 Ge 2.63

Results
Its symmetry is R-3m (166). For the density of states at the Fermi level, the calculation gives 1.53 states/eV/f.u. The calculation puts the energy of formation at -0.067 eV/atom. Its mass density is 5.87 g/cm³.

(11)
Density functional theory data (PBE-GGA) for an optimized crystal structure of Mg3GePd3.

a b c (Å): 6.0200 6.0200 6.8298
angles (deg): 90.97 90.97 82.40
Closest atoms and distances in Å follow each position.
Sites, in units of the cell vectors:
Mg (0.2111, 0.7889, 0.0000)  6 Pd 2.74-2.89, 2 Ge 2.91
Mg (0.2327, 0.7673, 0.5000)  6 Pd 2.79-3.02, 4 Mg 2.99-3.06
Mg (0.2679, 0.2679, 0.4646)  6 Pd 2.68-2.91, 1 Ge 2.89, 2 Mg 2.99
Mg (0.7321, 0.7321, 0.5354)  6 Pd 2.68-2.91, 1 Ge 2.89, 2 Mg 2.99
Mg (0.7673, 0.2327, 0.5000)  6 Pd 2.79-3.02, 4 Mg 2.99-3.06
Mg (0.7889, 0.2111, 0.0000)  6 Pd 2.74-2.89, 2 Ge 2.91
Ge (0.2618, 0.2618, 0.0419)  5 Pd 2.52-2.62
Ge (0.7382, 0.7382, 0.9581)  5 Pd 2.52-2.62
Pd (0.0235, 0.4555, 0.7630)  2 Ge 2.57-2.62, 4 Mg 2.68-2.79
Pd (0.4555, 0.0235, 0.7630)  2 Ge 2.57-2.62, 4 Mg 2.68-2.79
Pd (0.4948, 0.4948, 0.7733)  1 Ge 2.52, 3 Mg 2.72-2.77
Pd (0.5052, 0.5052, 0.2267)  1 Ge 2.52, 3 Mg 2.72-2.77
Pd (0.5445, 0.9765, 0.2370)  2 Ge 2.57-2.62, 4 Mg 2.68-2.79
Pd (0.9765, 0.5445, 0.2370)  2 Ge 2.57-2.62, 4 Mg 2.68-2.79

Results
Its symmetry is C2/m (12). For the density of states at the Fermi level, the calculation gives 1.91 states/eV/f.u. The calculation puts the energy of formation at -0.559 eV/atom. Its mass density is 6.29 g/cm³.

(12)
Density functional theory data (PBE-GGA) for an optimized crystal structure of Mg2GePd.

a b c (Å): 5.1637 5.1637 8.2691
angles (deg): 113.57 113.57 56.55
Closest atoms and distances in Å follow each position.
Sites, in units of the cell vectors:
Mg (0.1799, 0.1990, 0.0952)  3 Ge 2.78-2.91, 3 Pd 2.80-2.83, 1 Mg 3.07
Mg (0.1990, 0.1799, 0.5952)  3 Ge 2.78-2.91, 3 Pd 2.80-2.83, 1 Mg 3.07
Mg (0.8010, 0.8201, 0.4048)  3 Ge 2.78-2.91, 3 Pd 2.80-2.83, 1 Mg 3.07
Mg (0.8201, 0.8010, 0.9048)  3 Ge 2.78-2.91, 3 Pd 2.80-2.83, 1 Mg 3.07
Ge (0.2671, 0.7329, 0.7500)  2 Pd 2.44-2.45
Ge (0.7329, 0.2671, 0.2500)  2 Pd 2.44-2.45
Pd (0.2337, 0.7663, 0.2500)  2 Ge 2.44-2.45
Pd (0.7663, 0.2337, 0.7500)  2 Ge 2.44-2.45

Results
Its symmetry is C2/c (15). For the density of states at the Fermi level, the calculation gives 1.44 states/eV/f.u. The calculation puts the energy of formation at -0.357 eV/atom. Its mass density is 4.61 g/cm³.